[1]
The following is a GGA-PBE calculation of a relaxed CaNdZnSi crystal, from the Alexandria database.

It has space group F-43m (No. 216), with a = 7.253 Å, b = 7.253 Å, c = 7.253 Å, α = 90.00°, β = 90.00° and γ = 90.00°. Symmetry generates all atoms from Ca at (0.000, 0.000, 0.000), Nd at (0.000, 0.000, 0.500), Zn at (0.250, 0.250, 0.750) and Si at (0.250, 0.250, 0.250).

For the formation energy from raw total energies, the calculation gives -368 meV per atom.

---

[2]
The following is a GGA-PBE calculation of a relaxed CaNdSm2 crystal, from the Alexandria database.

It has space group Fm-3m (No. 225), with a = 8.290 Å, b = 8.290 Å, c = 8.290 Å, α = 90.00°, β = 90.00° and γ = 90.00°. Symmetry generates all atoms from Ca at (0.000, 0.000, 0.000), Nd at (0.000, 0.000, 0.500) and Sm at (0.250, 0.250, 0.250).

Its distance to the lowest polymorph of the same formula is 100.5 meV per atom. The formation energy is 0.15 eV/atom.

---

[3]
The following is a GGA-PBE calculation of a relaxed CaNd5Sm3 crystal, from the Alexandria database.

It has space group C2/c (No. 15), with a = 16.389 Å, b = 6.950 Å, c = 11.904 Å, α = 90.00°, β = 107.89° and γ = 90.00°. Symmetry generates all atoms from Ca at (0.000, 0.225, 0.250), Nd at (0.000, 0.313, 0.750), Nd at (0.108, 0.494, 0.544), Nd at (0.178, 0.120, 0.870), Sm at (0.000, 0.000, 0.000) and Sm at (0.243, 0.387, 0.364).

Its distance to the lowest polymorph of the same formula is 0.0 meV per atom. The formation energy is 0.17 eV/atom.

---

[4]
The following is a GGA-PBE calculation of a relaxed CaNd12Sm5 crystal, from the Alexandria database.

It has space group C2/m (No. 12), with a = 19.101 Å, b = 11.035 Å, c = 6.367 Å, α = 90.00°, β = 109.35° and γ = 90.00°. Symmetry generates all atoms from Ca at (0.000, 0.000, 0.000), Nd at (0.000, 0.171, 0.500), Nd at (0.000, 0.338, 0.000), Nd at (0.166, 0.333, 0.498), Nd at (0.169, 0.169, 0.000), Sm at (0.000, 0.500, 0.500), Sm at (0.167, 0.500, 0.997) and Sm at (0.169, 0.000, 0.510).

The formation energy is 0.02 eV/atom.

---

[5]
The following is a GGA-PBE calculation of a relaxed Ca2Nd6Sm5 crystal, from the Alexandria database.

It has space group Pbam (No. 55), with a = 12.238 Å, b = 20.907 Å, c = 3.629 Å, α = 90.00°, β = 90.00° and γ = 90.00°. Symmetry generates all atoms from Ca at (0.165, 0.215, 0.000), Nd at (0.050, 0.923, 0.000), Nd at (0.070, 0.638, 0.000), Nd at (0.187, 0.379, 0.500), Sm at (0.000, 0.500, 0.500), Sm at (0.095, 0.781, 0.500) and Sm at (0.209, 0.051, 0.500).

The formation energy is 0.13 eV/atom.

---

[6]
The following is a GGA-PBE calculation of a relaxed CaNdSm2 crystal, from the Alexandria database.

It has space group P4/mmm (No. 123), with a = 3.691 Å, b = 3.691 Å, c = 10.529 Å, α = 90.00°, β = 90.00° and γ = 90.00°. Symmetry generates all atoms from Ca at (0.000, 0.000, 0.000), Nd at (0.000, 0.000, 0.500) and Sm at (0.500, 0.500, 0.265).

Its distance to the lowest polymorph of the same formula is 7.7 meV per atom. The formation energy is 0.05 eV/atom.

---

[7]
The following is a GGA-PBE calculation of a relaxed Ca2NdSm2 crystal, from the Alexandria database.

It has space group P4/mbm (No. 127), with a = 9.548 Å, b = 9.548 Å, c = 4.022 Å, α = 90.00°, β = 90.00° and γ = 90.00°. Symmetry generates all atoms from Ca at (0.172, 0.328, 0.000), Nd at (0.000, 0.000, 0.500) and Sm at (0.126, 0.626, 0.500).

Its distance to the lowest polymorph of the same formula is 161.3 meV per atom. The formation energy is 0.21 eV/atom.

---

[8]
The following is a GGA-PBE calculation of a relaxed CaNd3Sm4 crystal, from the Alexandria database.

It has space group Cmmm (No. 65), with a = 5.825 Å, b = 26.454 Å, c = 3.691 Å, α = 90.00°, β = 90.00° and γ = 90.00°. Symmetry generates all atoms from Ca at (0.000, 0.000, 0.000), Nd at (0.000, 0.349, 0.000), Nd at (0.000, 0.500, 0.500), Sm at (0.000, 0.104, 0.500) and Sm at (0.000, 0.224, 0.500).

The formation energy is 0.21 eV/atom.

---

[9]
The following is a GGA-PBE calculation of a relaxed CaNd8Sm2 crystal, from the Alexandria database.

It has space group C2/m (No. 12), with a = 16.904 Å, b = 5.906 Å, c = 9.286 Å, α = 90.00°, β = 122.17° and γ = 90.00°. Symmetry generates all atoms from Ca at (0.000, 0.000, 0.000), Nd at (0.050, 0.500, 0.377), Nd at (0.100, 0.000, 0.696), Nd at (0.148, 0.500, 0.127), Nd at (0.193, 0.000, 0.420) and Sm at (0.223, 0.500, 0.857).

The formation energy is 0.08 eV/atom.

---

[10]
The following is a GGA-PBE calculation of a relaxed Ca2Nd4Sm5 crystal, from the Alexandria database.

It has space group P-1 (No. 2), with a = 6.396 Å, b = 8.223 Å, c = 8.251 Å, α = 107.49°, β = 105.14° and γ = 97.49°. Symmetry generates all atoms from Ca at (0.134, 0.229, 0.045), Nd at (0.049, 0.408, 0.672), Nd at (0.234, 0.046, 0.421), Sm at (0.324, 0.861, 0.766), Sm at (0.416, 0.686, 0.141) and Sm at (0.500, 0.500, 0.500).

The formation energy is 0.05 eV/atom.

---

[11]
The following is a GGA-PBE calculation of a relaxed CaNdSm2 crystal, from the Alexandria database.

It has space group R3m (No. 160, hexagonal axes), with a = 3.6818 Å, b = 3.6818 Å, c = 36.5553 Å, α = 90.00°, β = 90.00° and γ = 120.00°. Symmetry generates all atoms from Ca at (0.0000, 0.0000, 0.0000), Nd at (0.0000, 0.0000, 0.8342), Sm at (0.0000, 0.0000, 0.2471) and Sm at (0.0000, 0.0000, 0.4206).

Its distance to the lowest polymorph of the same formula is 0.0 meV per atom. The formation energy is 0.05 eV/atom.

---

[12]
The following is a GGA-PBE calculation of a relaxed CaNd12Sm6 crystal, from the Alexandria database.

It has space group R-3m (No. 166, hexagonal axes), with a = 13.6086 Å, b = 13.6086 Å, c = 12.9485 Å, α = 90.00°, β = 90.00° and γ = 120.00°. Symmetry generates all atoms from Ca at (0.0000, 0.0000, 0.0000), Nd at (0.0000, 0.2613, 0.5000), Nd at (0.0907, 0.1815, 0.2666) and Sm at (0.0400, 0.5200, 0.6167).

The formation energy is 0.18 eV/atom.